A geometry-optimized La2CrAg structure, computed with PBE.

Geometry as POSCAR:
```
La2CrAg
1.0
1.910 1.103 9.017
-1.910 1.103 9.017
0.000 -2.205 9.017
La Cr Ag
2 1 1
Cartesian
0.000 0.000 6.638 La
0.000 0.000 20.414 La
0.000 0.000 13.526 Cr
0.000 0.000 0.000 Ag
```

total magnetic moment = 0.8275 μB per atom
DOS at the Fermi energy = 3.828 states/eV/f.u.
total energy = -21.05 eV for the cell shown
calculated density = 6.4 g/cm³